1.
# La2MgNi2H8

An optimized crystal structure of La2MgNi2H8 (PBE-GGA, Alexandria via LeMat-Bulk).

Unit cell a=7.7763 b=11.7892 c=11.9863 alpha=93.17 beta=90.00 gamma=90.00
Sites, in units of the cell vectors:
H (0.5363, 0.5698, 0.4387)
Ni (0.1512, 0.1445, 0.0408)
La (0.3377, 0.1679, 0.8165)
Ni (0.6451, 0.3252, 0.9176)
Mg (0.4999, 0.3889, 0.3767)
H (0.0692, 0.5523, 0.2766)
La (0.6767, 0.3368, 0.6541)
H (0.9562, 0.0649, 0.4254)
H (0.4799, 0.2475, 0.2685)
H (0.2138, 0.5917, 0.0383)
H (0.0363, 0.4302, 0.0613)
H (0.6370, 0.2329, 0.8185)
H (0.5201, 0.7525, 0.7315)
Ni (0.1300, 0.4303, 0.3178)
Ni (0.1497, 0.9488, 0.8589)
Mg (0.9985, 0.8984, 0.4141)
Mg (0.4985, 0.1016, 0.0859)
H (0.9953, 0.4281, 0.4210)
H (0.8019, 0.1316, 0.6810)
Mg (0.0001, 0.3889, 0.8767)
H (0.4308, 0.5523, 0.7766)
Ni (0.3549, 0.6748, 0.0824)
H (0.2245, 0.0355, 0.9627)
H (0.2862, 0.5917, 0.5383)
H (0.7755, 0.9645, 0.0373)
H (0.1261, 0.3379, 0.2191)
H (0.0473, 0.8476, 0.9164)
H (0.5047, 0.4281, 0.9210)
Mg (0.0015, 0.1016, 0.5859)
La (0.8377, 0.8321, 0.6835)
La (0.1732, 0.3994, 0.5841)
H (0.8739, 0.6621, 0.7809)
H (0.7862, 0.4083, 0.9617)
H (0.3019, 0.8684, 0.8190)
H (0.7803, 0.5349, 0.1005)
H (0.2872, 0.1845, 0.1303)
Mg (0.5015, 0.8984, 0.9141)
H (0.6261, 0.6621, 0.2809)
H (0.4247, 0.7343, 0.9709)
Ni (0.6512, 0.8555, 0.4592)
Ni (0.6300, 0.5697, 0.1822)
H (0.1288, 0.2482, 0.9597)
H (0.9308, 0.4477, 0.7234)
H (0.7872, 0.8155, 0.3697)
H (0.4125, 0.0234, 0.2589)
H (0.3630, 0.7671, 0.1815)
H (0.4527, 0.8476, 0.4164)
La (0.6570, 0.1043, 0.3862)
H (0.6981, 0.1316, 0.1810)
Ni (0.3700, 0.4303, 0.8178)
Ni (0.8503, 0.0512, 0.1411)
H (0.2128, 0.1845, 0.6303)
H (0.5473, 0.1524, 0.5836)
H (0.5692, 0.4477, 0.2234)
Ni (0.1451, 0.6748, 0.5824)
H (0.3712, 0.2482, 0.4597)
H (0.1370, 0.7671, 0.6815)
H (0.9247, 0.2657, 0.5291)
H (0.3739, 0.3379, 0.7191)
H (0.7128, 0.8155, 0.8697)
H (0.7197, 0.5349, 0.6005)
H (0.4562, 0.9351, 0.0746)
Ni (0.3488, 0.1445, 0.5408)
La (0.3233, 0.6632, 0.3459)
Ni (0.3503, 0.9488, 0.3589)
La (0.8430, 0.1043, 0.8862)
La (0.3268, 0.3994, 0.0841)
H (0.9799, 0.7525, 0.2315)
H (0.0438, 0.9351, 0.5746)
H (0.2197, 0.4651, 0.8995)
H (0.5753, 0.2657, 0.0291)
La (0.1623, 0.1679, 0.3165)
H (0.7138, 0.4083, 0.4617)
La (0.3430, 0.8957, 0.6138)
Mg (0.5001, 0.6111, 0.6233)
La (0.6623, 0.8321, 0.1835)
H (0.2803, 0.4651, 0.3995)
H (0.9125, 0.9766, 0.2411)
H (0.0047, 0.5719, 0.5790)
La (0.1570, 0.8957, 0.1138)
H (0.8712, 0.7518, 0.0403)
La (0.6732, 0.6006, 0.9159)
Ni (0.6497, 0.0512, 0.6411)
H (0.5438, 0.0649, 0.9254)
H (0.5875, 0.9766, 0.7411)
H (0.7245, 0.9645, 0.5373)
H (0.4637, 0.4302, 0.5613)
Ni (0.8549, 0.3252, 0.4176)
La (0.1767, 0.6632, 0.8459)
Ni (0.8700, 0.5697, 0.6822)
H (0.9637, 0.5698, 0.9387)
H (0.0875, 0.0234, 0.7589)
H (0.4953, 0.5719, 0.0790)
H (0.1981, 0.8684, 0.3190)
H (0.2755, 0.0355, 0.4627)
La (0.8268, 0.6006, 0.4159)
H (0.0753, 0.7343, 0.4709)
H (0.0201, 0.2475, 0.7685)
Ni (0.8488, 0.8555, 0.9592)
H (0.6288, 0.7518, 0.5403)
H (0.8630, 0.2329, 0.3185)
H (0.9527, 0.1524, 0.0836)
Mg (0.9999, 0.6111, 0.1233)
La (0.8233, 0.3368, 0.1541)

Its symmetry is P2_1/c (14).



2.
# CeY2Tm

An optimized crystal structure of CeY2Tm (PBE-GGA, Alexandria via LeMat-Bulk).

Unit cell a=3.5271 b=3.5271 c=11.7226 alpha=81.35 beta=81.35 gamma=60.00
Site moments in Bohr magnetons follow the coordinates.
Sites, in units of the cell vectors:
Y (0.7499, 0.7499, 0.7504)  0.00
Ce (0.0000, 0.0000, 0.0000)  0.62
Y (0.2501, 0.2501, 0.2496)  0.00
Tm (0.5000, 0.5000, 0.5000)  -0.02

Its density of states at the Fermi level is 8.40 states/eV/f.u. Its symmetry is R-3m (166). As for the offset from the most stable computed form: 0.000 eV per atom.



3.
# Y2WAu

An optimized crystal structure of Y2WAu (PBE-GGA, Alexandria via LeMat-Bulk).

Unit cell a=3.8737 b=3.8737 c=6.2013 alpha=90.00 beta=90.00 gamma=90.00
Sites, in units of the cell vectors:
Y (0.0000, 0.0000, 0.9519)
Y (0.5000, 0.5000, 0.2903)
Au (0.0000, 0.0000, 0.4844)
W (0.5000, 0.5000, 0.7735)

Its density of states at the Fermi level is 5.28 states/eV/f.u. Its symmetry is P4mm (99). As for the offset from the most stable computed form: 0.326 eV per atom.



4.
# Tb3Cd7In2

An optimized crystal structure of Tb3Cd7In2 (PBE-GGA, Alexandria via LeMat-Bulk).

Unit cell a=4.1590 b=4.7853 c=15.4767 alpha=98.87 beta=90.00 gamma=90.00
Sites, in units of the cell vectors:
Cd (0.0000, 0.0000, 0.0000)
Tb (0.5000, 0.5000, 0.0000)
In (0.5000, 0.3621, 0.7209)
Cd (0.5000, 0.2705, 0.5409)
Cd (0.5000, 0.7295, 0.4591)
Tb (0.0000, 0.8178, 0.6358)
Cd (0.0000, 0.5742, 0.1504)
Tb (0.0000, 0.1822, 0.3642)
Cd (0.5000, 0.9220, 0.8420)
Cd (0.0000, 0.4258, 0.8496)
In (0.5000, 0.6379, 0.2791)
Cd (0.5000, 0.0780, 0.1580)

Its density of states at the Fermi level is 7.31 states/eV/f.u. Its symmetry is P2/m (10).



5.
# Gd2NiPb

An optimized crystal structure of Gd2NiPb (PBE-GGA, Alexandria via LeMat-Bulk).

Unit cell a=3.4744 b=3.4744 c=8.1202 alpha=90.00 beta=90.00 gamma=90.00
Site moments in Bohr magnetons follow the coordinates.
Sites, in units of the cell vectors:
Pb (0.5000, 0.5000, 0.5000)  -0.01
Ni (0.5000, 0.5000, 0.0000)  -0.03
Gd (0.0000, 0.0000, 0.2042)  7.06
Gd (0.0000, 0.0000, 0.7958)  7.06

Its density of states at the Fermi level is 3.12 states/eV/f.u. Its symmetry is P4/mmm (123). As for the offset from the most stable computed form: 0.000 eV per atom.



6.
# LaCuSb2

An optimized crystal structure of LaCuSb2 (PBE-GGA, Alexandria via LeMat-Bulk).

Unit cell a=4.1671 b=4.3252 c=6.3142 alpha=90.29 beta=90.00 gamma=90.00
Sites, in units of the cell vectors:
Sb (0.0000, 0.2478, 0.4996)
La (0.5000, 0.7500, 0.7500)
Sb (0.0000, 0.2522, 0.0004)
Cu (0.5000, 0.2500, 0.2500)

Its density of states at the Fermi level is 2.03 states/eV/f.u. Its symmetry is P2/m (10).



Result set for calculated total energy: -4.298, -5.770, -7.001, -2.342, -9.824, -4.799 eV/atom, one per record in the order listed.